(A)
A geometry-optimized ScZn2W structure, computed with PBE.

Summary:
For the total magnetic moment, the calculation gives 0.00 μB/f.u. The value obtained for the density is 9.19 g cm⁻³. Its volume is 16.2 A^3/atom. As for the density of states at the Fermi level: 0.97 states/eV/atom.

Cell: 4.084 4.084 7.790 Å, 90.00 90.00 90.00°
Space group I4/mmm (No. 139)
Inequivalent atoms, fractional coordinates:
Sc 0.000 0.000 0.000 x2
Zn 0.000 0.500 0.250 x4
W 0.000 0.000 0.500 x2

=====

(B)
A geometry-optimized ScZn2W structure, computed with PBE.

Summary:
For the total magnetic moment, the calculation gives 0.00 μB/f.u. The value obtained for the density is 9.19 g cm⁻³. Its volume is 16.2 A^3/atom. As for the density of states at the Fermi level: 0.36 states/eV/atom.

Cell: 4.093 4.093 3.877 Å, 90.00 90.00 90.00°
Space group P4/mmm (No. 123)
Inequivalent atoms, fractional coordinates:
Sc 0.000 0.000 0.000 x1
Zn 0.000 0.500 0.500 x2
W 0.500 0.500 0.000 x1

=====

Most favorable first, least favorable last: (B), (A)